DFT (PBE-GGA) results for crystalline SrCa2ErIn4 at its relaxed geometry.

The structure in extended XYZ format:
```
8
Lattice="5.4727 0.0000 0.0000 2.7364 4.7395 0.0000 2.7364 1.5798 8.9763" Properties=species:S:1:pos:R:3 pbc="T T T"
Sr 0.0000 0.0000 0.0000
Ca 8.2091 4.7395 6.7306
Ca 2.7364 1.5798 2.2456
Er 5.4727 3.1597 4.4881
In 5.4727 3.1597 7.7041
In 8.2091 4.7395 3.4353
In 2.7364 1.5798 5.5410
In 5.4727 3.1597 1.2721
```

total magnetic moment: 0.0 μB/f.u.
calculated volume: 232.8 Å³/cell
DFT formation energy: -0.4329 eV/atom
E_tot: -3.083 eV per atom
space-group type: R-3m

=====

DFT (PBE-GGA) results for crystalline GaFe2GeAu at its relaxed geometry.

The structure in extended XYZ format:
```
5
Lattice="-4.6464 1.4542 0.1083 0.0958 -0.0397 4.6444 1.4548 4.6474 0.0097" Properties=species:S:1:pos:R:3 pbc="T T T"
Ge 0.0479 -0.0198 2.3222
Au 0.0000 0.0000 0.0000
Fe 0.7274 2.3237 0.0048
Fe -2.3232 0.7271 0.0542
Ga -1.5479 3.0310 2.3812
```

total magnetic moment: 6.3 μB/f.u.
calculated volume: 110.2 Å³/cell
DFT formation energy: 1.0314 eV/atom
E_tot: -4.538 eV per atom
space-group type: P4/mmm

=====

DFT (PBE-GGA) results for crystalline Tl2RuF7 at its relaxed geometry.

The structure in extended XYZ format:
```
20
Lattice="5.7373 0.0000 2.7979 2.5233 7.3764 2.1071 -0.3222 -0.8779 7.9421" Properties=species:S:1:pos:R:3 pbc="T T T"
Tl 5.6196 6.2379 9.4629
Tl 5.1949 2.9886 4.7679
Tl 2.7435 3.5099 8.0792
Tl 2.3188 0.2606 3.3842
Ru 5.9154 1.1857 9.1783
Ru 2.0230 5.3129 3.6688
F 5.5502 2.9751 9.9194
F 4.8779 -0.2742 5.1036
F 3.2844 6.0878 2.4225
F 2.1209 1.4302 6.0674
F 4.1343 1.1857 8.3097
F 6.1207 1.9606 7.4169
F 1.1277 0.9412 8.1039
F 6.8107 5.5574 4.7432
F 1.8177 4.5379 5.4302
F 3.8040 5.3129 4.5374
F 5.8175 5.0683 6.7797
F 4.6539 0.4108 10.4246
F 3.0604 6.7727 7.7435
F 2.3882 3.5234 2.9277
```

total magnetic moment: 1.0 μB/f.u.
calculated volume: 347.2 Å³/cell
E_form (uncorrected): -1.723 eV per atom
E_tot: -4.434 eV per atom
space-group type: C2/c

=====

DFT (PBE-GGA) results for crystalline Li2FePd7 at its relaxed geometry.

The structure in extended XYZ format:
```
10
Lattice="2.7018 0.0000 0.0000 0.0000 8.5657 -0.3573 0.0000 -4.1833 7.4833" Properties=species:S:1:pos:R:3 pbc="T T T"
Li 1.3509 4.3437 2.2392
Li 1.3509 0.0386 4.8868
Fe 0.0000 0.0000 0.0000
Pd 0.0000 6.1926 1.1021
Pd 0.0000 -1.8102 6.0239
Pd 1.3509 -0.1978 2.3043
Pd 1.3509 4.5801 4.8216
Pd 1.3509 2.1457 0.8631
Pd 1.3509 2.2367 6.2628
Pd 1.3509 2.1912 3.5630
```

total magnetic moment: 4.5 μB/f.u.
calculated volume: 169.1 Å³/cell
DFT formation energy: 0.0905 eV/atom
E_tot: -4.773 eV per atom
space-group type: Cmmm

=====

DFT (PBE-GGA) results for crystalline Mn2H2Pd at its relaxed geometry.

The structure in extended XYZ format:
```
5
Lattice="-0.8536 2.3753 -1.4731 -2.6842 -1.1261 -0.2604 -3.2719 3.0877 3.9758" Properties=species:S:1:pos:R:3 pbc="T T T"
H -2.9472 3.0438 0.8180
H -3.8625 1.2931 1.4243
Mn -2.2356 1.3895 0.6371
Mn -4.5740 2.9474 1.6052
Pd 0.0000 0.0000 0.0000
```

total magnetic moment: 7.0 μB/f.u.
calculated volume: 48.1 Å³/cell
E_tot: -6.085 eV per atom
space-group type: I4/mmm

=====

DFT (PBE-GGA) results for crystalline KV at its relaxed geometry.

The structure in extended XYZ format:
```
8
Lattice="-4.2250 -2.6050 -4.9896 -3.4182 -3.7692 4.8622 -4.4719 5.3422 0.9975" Properties=species:S:1:pos:R:3 pbc="T T T"
K 0.0000 0.0000 0.0000
K -3.9450 0.7865 2.9299
K -4.3484 1.3686 -1.9960
K -3.8216 -3.1871 -0.0637
V -6.0575 -0.5160 0.4351
V -2.1125 -1.3025 -2.4948
V -1.7091 -1.8846 2.4311
V -2.2359 2.6711 0.4988
```

total magnetic moment: 4.5 μB/f.u.
calculated volume: 348.6 Å³/cell
DFT formation energy: 1.9528 eV/atom
E_tot: -3.155 eV per atom
space-group type: Fm-3m